A plane-wave DFT calculation with GGA-PBE was carried out for a relaxed structure of Ho5Ni2Au2.

Output
Total DFT energy (no corrections) in eV/atom: -5.136
ΔE_f in meV/atom: -579

Unit cell a=15.304 b=7.233 c=7.486 alpha=90.00 beta=90.00 gamma=90.00
Space group Cmce (No. 64)
Inequivalent atoms, fractional coordinates:
Ho 0.000 0.000 0.000 [4 per cell]
Ho 0.130 0.173 0.325 [16 per cell]
Ni 0.000 0.117 0.619 [8 per cell]
Au 0.209 0.000 0.000 [8 per cell]

---

A plane-wave DFT calculation with GGA-PBE was carried out for a relaxed structure of NbCdH.

Output
Total DFT energy (no corrections) in eV/atom: -4.788
Energy above the lowest structure with this stoichiometry in meV per atom: 0

Unit cell a=3.125 b=4.986 c=6.328 alpha=90.00 beta=119.46 gamma=90.00
Space group Pc (No. 7)
Inequivalent atoms, fractional coordinates:
Nb 0.000 0.005 0.000 [2 per cell]
Cd 0.668 0.494 0.668 [2 per cell]
H 0.332 0.095 0.332 [2 per cell]

---

A plane-wave DFT calculation with GGA-PBE was carried out for a relaxed structure of KGeRh2I.

Output
Total DFT energy (no corrections) in eV/atom: -2.644
ΔE_f (raw) in eV/atom: 1.75

Unit cell a=4.879 b=4.879 c=5.901 alpha=90.00 beta=90.00 gamma=90.00
Space group P4/mmm (No. 123)
Inequivalent atoms, fractional coordinates:
K 0.000 0.000 0.000 [1 per cell]
Ge 0.500 0.500 0.500 [1 per cell]
Rh 0.000 0.500 0.000 [2 per cell]
I 0.000 0.000 0.500 [1 per cell]

---

A plane-wave DFT calculation with GGA-PBE was carried out for a relaxed structure of KMgAlF6.

Output
Total DFT energy (no corrections) in eV/atom: -5.398
ΔE_f (raw) in eV/atom: -3.44

Unit cell a=7.089 b=7.152 c=10.055 alpha=90.00 beta=90.00 gamma=90.00
Space group Imma (No. 74)
Inequivalent atoms, fractional coordinates:
K 0.000 0.250 0.139 [4 per cell]
Mg 0.000 0.000 0.500 [4 per cell]
Al 0.250 0.250 0.750 [4 per cell]
F 0.000 0.250 0.416 [4 per cell]
F 0.000 0.250 0.801 [4 per cell]
F 0.208 0.069 0.628 [16 per cell]

---

A plane-wave DFT calculation with GGA-PBE was carried out for a relaxed structure of Na2Ca4Ac.

Output
Total DFT energy (no corrections) in eV/atom: -1.481
ΔE_f in meV/atom: 626
Energy above the lowest structure with this stoichiometry in meV per atom: 567

Unit cell a=6.488 b=6.488 c=17.451 alpha=90.00 beta=90.00 gamma=90.00
Space group I4/mmm (No. 139)
Inequivalent atoms, fractional coordinates:
Na 0.000 0.000 0.098 [4 per cell]
Ca 0.000 0.000 0.301 [4 per cell]
Ca 0.000 0.500 0.000 [4 per cell]
Ac 0.000 0.000 0.500 [2 per cell]

---

A plane-wave DFT calculation with GGA-PBE was carried out for a relaxed structure of SrAgIO6.

Output
Total DFT energy (no corrections) in eV/atom: -4.839
ΔE_f (raw) in eV/atom: -0.86

Unit cell a=5.4910 b=5.4910 c=5.3083 alpha=90.00 beta=90.00 gamma=120.00
Space group P312 (No. 149)
Inequivalent atoms, fractional coordinates:
Sr 0.0000 0.0000 0.0000 [1 per cell]
Ag 0.3333 0.6667 0.5000 [1 per cell]
I 0.6667 0.3333 0.5000 [1 per cell]
O 0.3915 0.0425 0.7079 [6 per cell]

---

A plane-wave DFT calculation with GGA-PBE was carried out for a relaxed structure of TlVI2.

Output
Total DFT energy (no corrections) in eV/atom: -3.423
ΔE_f (raw) in eV/atom: 0.22
Energy above the lowest structure with this stoichiometry in meV per atom: 407

Unit cell a=7.935 b=7.935 c=7.935 alpha=90.00 beta=90.00 gamma=90.00
Space group Fm-3m (No. 225)
Inequivalent atoms, fractional coordinates:
Tl 0.000 0.000 0.000 [4 per cell]
V 0.000 0.000 0.500 [4 per cell]
I 0.250 0.250 0.250 [8 per cell]

---

A plane-wave DFT calculation with GGA-PBE was carried out for a relaxed structure of In6BiS8.

Output
Total DFT energy (no corrections) in eV/atom: -3.789
ΔE_f (raw) in eV/atom: -0.23

Unit cell a=11.3156 b=11.3156 c=11.8399 alpha=90.00 beta=90.00 gamma=120.00
Space group R-3 (No. 148, hexagonal axes)
Inequivalent atoms, fractional coordinates:
In 0.0007 0.8069 0.1373 [18 per cell]
Bi 0.0000 0.0000 0.5000 [3 per cell]
S 0.0000 0.0000 0.2664 [6 per cell]
S 0.0105 0.2694 0.0813 [18 per cell]

---

A plane-wave DFT calculation with GGA-PBE was carried out for a relaxed structure of YAgOsO6.

Output
Total DFT energy (no corrections) in eV/atom: -6.998
ΔE_f (raw) in eV/atom: -1.41

Unit cell a=5.5506 b=5.5506 c=4.7626 alpha=90.00 beta=90.00 gamma=120.00
Space group P312 (No. 149)
Inequivalent atoms, fractional coordinates:
Y 0.0000 0.0000 0.0000 [1 per cell]
Ag 0.3333 0.6667 0.5000 [1 per cell]
Os 0.6667 0.3333 0.0000 [1 per cell]
O 0.3814 0.0592 0.7743 [6 per cell]

---

A plane-wave DFT calculation with GGA-PBE was carried out for a relaxed structure of Y2ZrH.

Output
Total DFT energy (no corrections) in eV/atom: -6.092
Energy above the lowest structure with this stoichiometry in meV per atom: 105

Unit cell a=3.3459 b=3.3459 c=27.3606 alpha=90.00 beta=90.00 gamma=120.00
Space group R-3m (No. 166, hexagonal axes)
Inequivalent atoms, fractional coordinates:
Y 0.0000 0.0000 0.1160 [6 per cell]
Zr 0.0000 0.0000 0.0000 [3 per cell]
H 0.0000 0.0000 0.5000 [3 per cell]

---

A plane-wave DFT calculation with GGA-PBE was carried out for a relaxed structure of Tc2H2Rh.

Output
Total DFT energy (no corrections) in eV/atom: -6.733
Energy above the lowest structure with this stoichiometry in meV per atom: 0

Unit cell a=5.996 b=5.996 c=2.792 alpha=90.00 beta=90.00 gamma=90.00
Space group P4/mbm (No. 127)
Inequivalent atoms, fractional coordinates:
Tc 0.134 0.366 0.000 [4 per cell]
H 0.199 0.699 0.500 [4 per cell]
Rh 0.000 0.000 0.500 [2 per cell]

---

A plane-wave DFT calculation with GGA-PBE was carried out for a relaxed structure of PaAsOsN.

Output
Total DFT energy (no corrections) in eV/atom: -9.382
ΔE_f (raw) in eV/atom: -0.96

Unit cell a=4.080 b=4.080 c=7.822 alpha=90.00 beta=90.00 gamma=90.00
Space group P4/nmm (No. 129, origin choice 2)
Inequivalent atoms, fractional coordinates:
Pa 0.250 0.250 0.144 [2 per cell]
As 0.250 0.250 0.674 [2 per cell]
Os 0.250 0.750 0.500 [2 per cell]
N 0.250 0.750 0.000 [2 per cell]

---

What did the fifth record say?
A plane-wave DFT calculation with GGA-PBE was carried out for a relaxed structure of Na2Ca4Ac.

Output
Total DFT energy (no corrections) in eV/atom: -1.481
ΔE_f in meV/atom: 626
Energy above the lowest structure with this stoichiometry in meV per atom: 567

Unit cell a=6.488 b=6.488 c=17.451 alpha=90.00 beta=90.00 gamma=90.00
Space group I4/mmm (No. 139)
Inequivalent atoms, fractional coordinates:
Na 0.000 0.000 0.098 [4 per cell]
Ca 0.000 0.000 0.301 [4 per cell]
Ca 0.000 0.500 0.000 [4 per cell]
Ac 0.000 0.000 0.500 [2 per cell]

---

Which value of total DFT energy (no corrections) does entry 10 give? -6.092 eV/atom